VASP calculation (GGA-PBE) on crystalline Na2LiHg at its relaxed geometry.

Values from the calculation:
ΔE_f = -126 meV per atom
symmetry = Amm2

Lattice parameters (Å, degrees): 3.8428 3.4182 16.5835 90.00 90.00 90.00
Fractional coordinates of all 8 atoms:
Na  0.0000  0.0000  0.0000
Na  0.0000  0.5000  0.5000
Na  0.5000  0.0000  0.3364
Na  0.5000  0.5000  0.8364
Li  0.0000  0.0000  0.1873
Li  0.0000  0.5000  0.6873
Hg  0.5000  0.0000  0.6260
Hg  0.5000  0.5000  0.1260

=====

VASP calculation (GGA-PBE) on crystalline Sr2TePt at its relaxed geometry.

Values from the calculation:
excess energy over the best structure of this formula in the dataset = 39 meV per atom
symmetry = R3m
uncorrected formation energy = -25.62 kcal/mol of atoms

Lattice parameters (Å, degrees): 4.5031 4.5031 23.0036 90.00 90.00 120.00
Fractional coordinates of all 12 atoms:
Sr  0.0000  0.0000  0.0000
Sr  0.0000  0.0000  0.1805
Sr  0.3333  0.6667  0.6667
Sr  0.3333  0.6667  0.8472
Sr  0.6667  0.3333  0.3333
Sr  0.6667  0.3333  0.5138
Te  0.0000  0.0000  0.4238
Te  0.3333  0.6667  0.0905
Te  0.6667  0.3333  0.7571
Pt  0.0000  0.0000  0.5894
Pt  0.3333  0.6667  0.2561
Pt  0.6667  0.3333  0.9227

=====

VASP calculation (GGA-PBE) on crystalline NaOs3C at its relaxed geometry.

Values from the calculation:
ΔE_f = 4452 meV per atom
excess energy over the best structure of this formula in the dataset = 3610 meV per atom
symmetry = Pm-3m

Lattice parameters (Å, degrees): 4.4716 4.4716 4.4716 90.00 90.00 90.00
Fractional coordinates of all 5 atoms:
Na  0.0000  0.0000  0.0000
Os  0.0000  0.0000  0.5000
Os  0.0000  0.5000  0.0000
Os  0.5000  0.0000  0.0000
C  0.5000  0.5000  0.5000

=====

VASP calculation (GGA-PBE) on crystalline TlZnCr2Cl8 at its relaxed geometry.

Values from the calculation:
symmetry = P2/m
uncorrected formation energy = -20.91 kcal/mol of atoms

Lattice parameters (Å, degrees): 6.1194 7.7403 6.3202 90.00 95.35 90.00
Fractional coordinates of all 12 atoms:
Tl  0.0000  0.0000  0.0000
Zn  0.0000  0.5000  0.0000
Cr  0.5000  0.2629  0.5000
Cr  0.5000  0.7371  0.5000
Cl  0.2520  0.2892  0.1807
Cl  0.2520  0.7108  0.1807
Cl  0.2886  0.5000  0.6473
Cl  0.3088  0.0000  0.6309
Cl  0.6912  0.0000  0.3691
Cl  0.7114  0.5000  0.3527
Cl  0.7480  0.2892  0.8193
Cl  0.7480  0.7108  0.8193

=====

VASP calculation (GGA-PBE) on crystalline BeFeOs at its relaxed geometry.

Values from the calculation:
ΔE_f = 57 meV per atom
excess energy over the best structure of this formula in the dataset = 166 meV per atom
symmetry = P4/nmm

Lattice parameters (Å, degrees): 3.3147 3.3147 6.0060 90.00 90.00 90.00
Fractional coordinates of all 6 atoms:
Be  0.2500  0.2500  0.2230
Be  0.7500  0.7500  0.7770
Fe  0.2500  0.7500  0.5000
Fe  0.7500  0.2500  0.5000
Os  0.2500  0.2500  0.8343
Os  0.7500  0.7500  0.1657

=====

VASP calculation (GGA-PBE) on crystalline MoH2Ru3 at its relaxed geometry.

Values from the calculation:
symmetry = C2/m

Lattice parameters (Å, degrees): 5.2761 5.2761 9.7763 117.58 117.58 30.91
Fractional coordinates of all 12 atoms:
Mo  0.1175  0.1175  0.2256
Mo  0.8825  0.8825  0.7744
H  0.2487  0.2487  0.6187
H  0.2532  0.2532  0.1244
H  0.7468  0.7468  0.8756
H  0.7513  0.7513  0.3813
Ru  0.1208  0.1208  0.7267
Ru  0.3792  0.3792  0.0231
Ru  0.3804  0.3804  0.5227
Ru  0.6196  0.6196  0.4773
Ru  0.6208  0.6208  0.9769
Ru  0.8792  0.8792  0.2733

=====

VASP calculation (GGA-PBE) on crystalline Sr2NbZnHg at its relaxed geometry.

Values from the calculation:
ΔE_f = 696 meV per atom
symmetry = P4/mmm

Lattice parameters (Å, degrees): 5.9676 5.9676 4.9989 90.00 90.00 90.00
Fractional coordinates of all 5 atoms:
Sr  0.0000  0.5000  0.0000
Sr  0.5000  0.0000  0.0000
Nb  0.0000  0.0000  0.0000
Zn  0.0000  0.0000  0.5000
Hg  0.5000  0.5000  0.5000

=====

VASP calculation (GGA-PBE) on crystalline Tl2VOs at its relaxed geometry.

Values from the calculation:
ΔE_f = 1190 meV per atom
excess energy over the best structure of this formula in the dataset = 346 meV per atom
symmetry = I-42d

Lattice parameters (Å, degrees): 7.7327 7.7327 5.6452 90.00 90.00 90.00
Fractional coordinates of all 16 atoms:
Tl  0.2370  0.2500  0.1250
Tl  0.2500  0.7370  0.3750
Tl  0.2500  0.7630  0.8750
Tl  0.2630  0.2500  0.6250
Tl  0.7370  0.7500  0.6250
Tl  0.7500  0.2370  0.8750
Tl  0.7500  0.2630  0.3750
Tl  0.7630  0.7500  0.1250
V  0.0000  0.0000  0.5000
V  0.0000  0.5000  0.7500
V  0.5000  0.0000  0.2500
V  0.5000  0.5000  0.0000
Os  0.0000  0.0000  0.0000
Os  0.0000  0.5000  0.2500
Os  0.5000  0.0000  0.7500
Os  0.5000  0.5000  0.5000

=====

In the order shown, the computed calculated total energy values come out to -1.3391; -4.2476; -4.3949; -4.0452; -7.7489; -7.5865; -2.3063; -5.0798 eV/atom.